No. 1
VASP calculation (SCAN) on YSi2Os2 at its PBEsol-relaxed geometry.

Computed properties:
- Theoretical density: 10.660 Mg/m³
- Symmetry: I4/mmm (139)
- ΔE_f (raw): -0.83 eV per atom

Cell: 4.121 4.121 9.641 Å, 90.00 90.00 90.00°
Fractional positions:
Y1 0.000 0.000 0.000
Y2 0.500 0.500 0.500
Si1 0.000 0.000 0.373
Si2 0.000 0.000 0.627
Si3 0.500 0.500 0.127
Si4 0.500 0.500 0.873
Os1 0.000 0.500 0.250
Os2 0.000 0.500 0.750
Os3 0.500 0.000 0.250
Os4 0.500 0.000 0.750

---

No. 2
VASP calculation (SCAN) on KBa2Pb at its PBEsol-relaxed geometry.

Computed properties:
- Theoretical density: 4.657 Mg/m³
- Formation energy from the elements: -0.23 eV/atom
- Symmetry: Pm (6)

Cell: 4.289 5.737 7.840 Å, 90.00 105.67 90.00°
Fractional positions:
K1 0.000 0.000 0.000
Ba1 0.381 0.500 0.759
Ba2 0.717 0.000 0.424
Pb1 0.150 0.500 0.282

---

No. 3
VASP calculation (SCAN) on NaBiTe2 at its PBEsol-relaxed geometry.

Computed properties:
- Theoretical density: 6.957 Mg/m³
- Symmetry: R-3m (166)
- ΔE_f (raw): -0.14 eV per atom

Cell: 3.478 3.478 33.297 Å, 90.00 90.00 120.00°
Fractional positions:
Na1 0.000 0.000 0.000
Na2 0.333 0.667 0.667
Na3 0.667 0.333 0.333
Bi1 0.000 0.000 0.500
Bi2 0.333 0.667 0.167
Bi3 0.667 0.333 0.833
Te1 0.000 0.000 0.407
Te2 0.000 0.000 0.593
Te3 0.333 0.667 0.073
Te4 0.333 0.667 0.260
Te5 0.667 0.333 0.740
Te6 0.667 0.333 0.927

---

Q: Which value of theoretical density does entry 1 give?
A: 10.660 Mg/m³

---

Q: Among the records above, which one has the highest theoretical density?
A: YSi2Os2

---

Q: The lowest theoretical density belongs to which entry?
A: KBa2Pb

---

Q: Which of these has the lowest theoretical density?
A: KBa2Pb